1.
First-principles (PBE-GGA) data for a relaxed Rb2CaMoBr6 crystal, as listed in the Alexandria database.

Computed properties:
Spin magnetization ... 2.000 μB per formula unit
DFT total energy ... -3.7292 eV per atom
Crystal system ... cubic

Lattice parameters (Å, degrees): 11.0031 11.0031 11.0031 90.00 90.00 90.00
Closest atoms and distances in Å follow each position.
Space group Fm-3m (No. 225)
One atom of each set of equivalent atoms:
Rb 0.2500 0.2500 0.2500 (multiplicity 8)  12 Br 3.89
Ca 0.0000 0.0000 0.0000 (multiplicity 4)  6 Br 2.86
Mo 0.0000 0.0000 0.5000 (multiplicity 4)  6 Br 2.64
Br 0.0000 0.0000 0.2601 (multiplicity 24)  1 Mo 2.64, 1 Ca 2.86


2.
First-principles (PBE-GGA) data for a relaxed CaMoSe2Br crystal, as listed in the Alexandria database.

Computed properties:
E above lowest polymorph ... 0 meV/atom
Spin magnetization ... 0.000 μB per formula unit
DFT total energy ... -4.8091 eV per atom
Crystal system ... tetragonal

Lattice parameters (Å, degrees): 4.9292 4.9292 5.3809 90.00 90.00 90.00
Closest atoms and distances in Å follow each position.
Space group P4/mmm (No. 123)
One atom of each set of equivalent atoms:
Ca 0.0000 0.0000 0.0000 (multiplicity 1)  4 Br 3.49, 8 Se 3.65
Mo 0.5000 0.5000 0.5000 (multiplicity 1)  4 Se 2.46, 2 Br 2.69
Se 0.0000 0.5000 0.5000 (multiplicity 2)  2 Mo 2.46
Br 0.5000 0.5000 0.0000 (multiplicity 1)  2 Mo 2.69


3.
First-principles (PBE-GGA) data for a relaxed CaMo2SeBr crystal, as listed in the Alexandria database.

Computed properties:
Spin magnetization ... 4.918 μB per formula unit
DFT total energy ... -5.1376 eV per atom
Crystal system ... tetragonal

Lattice parameters (Å, degrees): 4.7686 4.7686 5.9332 90.00 90.00 90.00
Closest atoms and distances in Å follow each position.
Space group P4/mmm (No. 123)
One atom of each set of equivalent atoms:
Ca 0.0000 0.0000 0.0000 (multiplicity 1)  2 Se 2.97
Mo 0.0000 0.5000 0.5000 (multiplicity 2)  2 Se 2.38
Se 0.0000 0.0000 0.5000 (multiplicity 1)  4 Mo 2.38
Br 0.5000 0.5000 0.0000 (multiplicity 1)  4 Ca 3.37


4.
First-principles (PBE-GGA) data for a relaxed CaMoSe2Br crystal, as listed in the Alexandria database.

Computed properties:
E above lowest polymorph ... 859 meV/atom
Spin magnetization ... 3.015 μB per formula unit
DFT total energy ... -3.9498 eV per atom
Crystal system ... tetragonal

Lattice parameters (Å, degrees): 5.5130 5.5130 5.3267 90.00 90.00 90.00
Closest atoms and distances in Å follow each position.
Space group P4/mmm (No. 123)
One atom of each set of equivalent atoms:
Ca 0.0000 0.0000 0.0000 (multiplicity 1)  2 Br 2.66, 4 Se 2.76
Mo 0.5000 0.5000 0.5000 (multiplicity 1)  8 Se 3.83, 4 Br 3.90
Se 0.0000 0.5000 0.0000 (multiplicity 2)  2 Ca 2.76
Br 0.0000 0.0000 0.5000 (multiplicity 1)  2 Ca 2.66


5.
First-principles (PBE-GGA) data for a relaxed CaSnMoBr2 crystal, as listed in the Alexandria database.

Computed properties:
Spin magnetization ... 1.353 μB per formula unit
DFT total energy ... -3.7177 eV per atom
Crystal system ... tetragonal

Lattice parameters (Å, degrees): 4.9347 4.9347 6.3928 90.00 90.00 90.00
Closest atoms and distances in Å follow each position.
Space group P4/mmm (No. 123)
One atom of each set of equivalent atoms:
Ca 0.0000 0.0000 0.0000 (multiplicity 1)  2 Mo 3.20, 4 Sn 3.49
Sn 0.5000 0.5000 0.0000 (multiplicity 1)  4 Ca 3.49
Mo 0.0000 0.0000 0.5000 (multiplicity 1)  4 Br 2.47
Br 0.0000 0.5000 0.5000 (multiplicity 2)  2 Mo 2.47


6.
First-principles (PBE-GGA) data for a relaxed SrCa2MoBr crystal, as listed in the Alexandria database.

Computed properties:
Spin magnetization ... 0.626 μB per formula unit
DFT total energy ... -3.2857 eV per atom
Crystal system ... tetragonal

Lattice parameters (Å, degrees): 5.7039 5.7039 4.8995 90.00 90.00 90.00
Closest atoms and distances in Å follow each position.
Space group P4/mmm (No. 123)
One atom of each set of equivalent atoms:
Sr 0.0000 0.0000 0.0000 (multiplicity 1)  8 Ca 3.76, 4 Mo 4.03
Ca 0.0000 0.5000 0.5000 (multiplicity 2)  2 Br 2.85
Mo 0.5000 0.5000 0.0000 (multiplicity 1)  2 Br 2.45
Br 0.5000 0.5000 0.5000 (multiplicity 1)  2 Mo 2.45


7.
First-principles (PBE-GGA) data for a relaxed CaTc2MoBr crystal, as listed in the Alexandria database.

Computed properties:
Spin magnetization ... 3.403 μB per formula unit
DFT total energy ... -5.9971 eV per atom
Crystal system ... tetragonal

Lattice parameters (Å, degrees): 4.6603 4.6603 6.3827 90.00 90.00 90.00
Closest atoms and distances in Å follow each position.
Space group P4/mmm (No. 123)
One atom of each set of equivalent atoms:
Ca 0.0000 0.0000 0.0000 (multiplicity 1)  2 Mo 3.19, 4 Br 3.30
Tc 0.0000 0.5000 0.5000 (multiplicity 2)  2 Mo 2.33
Mo 0.0000 0.0000 0.5000 (multiplicity 1)  4 Tc 2.33
Br 0.5000 0.5000 0.0000 (multiplicity 1)  4 Ca 3.30


8.
First-principles (PBE-GGA) data for a relaxed CaTiMo2Br crystal, as listed in the Alexandria database.

Computed properties:
E above lowest polymorph ... 0 meV/atom
Spin magnetization ... 0.002 μB per formula unit
DFT total energy ... -5.4120 eV per atom
Crystal system ... tetragonal

Lattice parameters (Å, degrees): 4.6888 4.6888 5.0491 90.00 90.00 90.00
Closest atoms and distances in Å follow each position.
Space group P4/mmm (No. 123)
One atom of each set of equivalent atoms:
Ca 0.0000 0.0000 0.0000 (multiplicity 1)  2 Br 2.52
Ti 0.5000 0.5000 0.0000 (multiplicity 1)  4 Ca 3.32, 8 Mo 3.45
Mo 0.0000 0.5000 0.5000 (multiplicity 2)  2 Br 2.34
Br 0.0000 0.0000 0.5000 (multiplicity 1)  4 Mo 2.34, 2 Ca 2.52